Record 1
# La4HoAu

Crystalline La4HoAu at its relaxed geometry (PBE, OQMD via LeMat-Bulk).

Cell: 6.707 6.707 5.205 Å, 90.00 90.00 91.28°
Fractional coordinates of all 6 atoms:
La  0.307  0.307  0.000
La  0.182  0.818  0.500
La  0.693  0.693  0.000
La  0.818  0.182  0.500
Ho  0.500  0.500  0.500
Au  0.000  0.000  0.000

Summary:
SG ... Cmmm
DFT formation energy ... 0.195 eV/atom
Crystal system ... orthorhombic

***

Record 2
# LaHoAu6

Crystalline LaHoAu6 at its relaxed geometry (PBE, OQMD via LeMat-Bulk).

Cell: 5.070 6.337 5.191 Å, 90.00 90.00 90.00°
Fractional coordinates of all 8 atoms:
Au  0.000  0.758  0.341
Au  0.500  0.771  0.665
Au  0.000  0.500  0.813
Au  0.500  0.229  0.665
Au  0.500  0.000  0.166
Au  0.000  0.242  0.341
Ho  0.000  0.000  0.846
La  0.500  0.500  0.162

Summary:
SG ... Pmm2
DFT formation energy ... -0.699 eV/atom
Crystal system ... orthorhombic

***

Record 3
# La2HoSi4Au4

Crystalline La2HoSi4Au4 at its relaxed geometry (PBE, OQMD via LeMat-Bulk).

Cell: 12.963 12.963 12.963 Å, 161.02 160.82 27.12°
Fractional coordinates of all 11 atoms:
Au  0.750  0.750  0.000
Au  0.092  0.592  0.500
Au  0.908  0.408  0.500
Au  0.250  0.250  0.000
Si  0.454  0.454  0.000
Si  0.191  0.691  0.500
Si  0.546  0.546  0.000
Si  0.809  0.309  0.500
Ho  0.000  0.000  0.000
La  0.647  0.147  0.500
La  0.353  0.853  0.500

Summary:
SG ... Immm
VASP energy ... -5.22 eV per atom
Crystal system ... orthorhombic

***

Record 4
# LiHoAu

Crystalline LiHoAu at its relaxed geometry (PBE, OQMD via LeMat-Bulk).

Cell: 4.717 4.717 4.717 Å, 60.00 60.00 60.00°
Fractional coordinates of all 3 atoms:
Au  0.250  0.250  0.250
Li  0.750  0.750  0.750
Ho  0.000  0.000  0.000

Summary:
SG ... F-43m
Energy relative to the lowest polymorph listed for this composition ... 50.6 kJ per mole of atoms
Crystal system ... cubic

***

Record 5
# LiHoAu

Crystalline LiHoAu at its relaxed geometry (PBE, OQMD via LeMat-Bulk).

Cell: 4.036 4.036 7.951 Å, 90.00 90.00 90.00°
Fractional coordinates of all 6 atoms:
Au  0.500  0.000  0.758
Au  0.000  0.500  0.242
Li  0.500  0.500  0.500
Li  0.000  0.000  0.500
Ho  0.500  0.000  0.150
Ho  0.000  0.500  0.850

Summary:
SG ... P4/nmm
Energy relative to the lowest polymorph listed for this composition ... 0.0 kJ per mole of atoms
Crystal system ... tetragonal

***

Record 6
# HoLuAu

Crystalline HoLuAu at its relaxed geometry (PBE, OQMD via LeMat-Bulk).

Cell: 4.876 4.876 4.876 Å, 60.00 60.00 60.00°
Fractional coordinates of all 3 atoms:
Au  0.000  0.000  0.000
Ho  0.250  0.250  0.250
Lu  0.750  0.750  0.750

Summary:
SG ... F-43m
DFT formation energy ... -0.479 eV/atom
Energy relative to the lowest polymorph listed for this composition ... 0.0 kJ per mole of atoms
Crystal system ... cubic

***

Record 7
# HoLu2Si4Au4

Crystalline HoLu2Si4Au4 at its relaxed geometry (PBE, OQMD via LeMat-Bulk).

Cell: 8.139 8.139 8.139 Å, 149.89 129.68 59.76°
Fractional coordinates of all 11 atoms:
Au  0.631  0.334  0.297
Au  0.369  0.666  0.703
Au  0.038  0.334  0.703
Au  0.962  0.666  0.297
Ho  0.000  0.000  0.000
Lu  0.376  0.876  0.500
Lu  0.624  0.124  0.500
Si  0.217  0.217  0.000
Si  0.324  0.500  0.824
Si  0.783  0.783  0.000
Si  0.676  0.500  0.176

Summary:
SG ... Immm
VASP energy ... -5.07 eV per atom
Crystal system ... orthorhombic

***

Record 8
# HoMgAu4

Crystalline HoMgAu4 at its relaxed geometry (PBE, OQMD via LeMat-Bulk).

Cell: 5.534 5.534 5.534 Å, 60.04 60.04 60.04°
Fractional coordinates of all 6 atoms:
Au  0.626  0.626  0.626
Au  0.124  0.626  0.626
Au  0.626  0.626  0.124
Au  0.626  0.124  0.626
Mg  0.999  0.999  0.999
Ho  0.250  0.250  0.250

Summary:
SG ... R3m
VASP energy ... -3.69 eV per atom
Crystal system ... trigonal